# 1
! Al2HAu2 | Alexandria | PBE-GGA | optimized geometry; values from VASP
&SYSTEM
  ibrav = 0, nat = 5, ntyp = 3
/
ATOMIC_SPECIES
Al 26.98 Al.upf
H 1.01 H.upf
Au 196.97 Au.upf
CELL_PARAMETERS angstrom
-2.607 -1.822 2.148
-1.657 -1.376 -3.177
1.609 -6.666 -0.271
ATOMIC_POSITIONS angstrom
Al -1.268 -7.256 -0.834
Al -1.387 -2.608 -0.466
H 0.000 0.000 0.000
Au -1.565 -5.043 0.682
Au -1.090 -4.821 -1.981
! Crystal system: tetragonal
! VASP energy: -15.718 eV per formula unit
! Space group: I4/mmm (139)
! Relative energy among the computed polymorphs: 0.375 eV per atom

# 2
! PmPr2Ir | Alexandria | PBE-GGA | optimized geometry; values from VASP
&SYSTEM
  ibrav = 0, nat = 4, ntyp = 3
/
ATOMIC_SPECIES
Ir 192.22 Ir.upf
Pr 140.91 Pr.upf
Pm 145.00 Pm.upf
CELL_PARAMETERS angstrom
-1.008 1.470 3.154
-3.047 -1.959 -0.061
4.275 -6.789 4.532
ATOMIC_POSITIONS angstrom
Ir -2.028 -0.244 1.546
Pr 3.494 -5.549 3.704
Pr 0.781 -1.240 0.828
Pm 0.110 -3.639 3.812
! Crystal system: tetragonal
! VASP energy: -24.045 eV per formula unit
! Space group: P4/mmm (123)
! E_form: -0.219 eV/atom
! Relative energy among the computed polymorphs: 0.217 eV per atom